#1
{
  "formula": "AlAsSe2I",
  "functional": "GGA-PBEsol",
  "state": "optimized geometry",
  "volume_a3_per_atom": 23.49,
  "spacegroup": "P4/mmm",
  "lattice": [[4.771, 0.000, 0.000], [0.000, 4.771, 0.000], [0.000, 0.000, 5.161]],
  "species": ["Al", "As", "Se", "Se", "I"],
  "frac_coords": [[0.000, 0.000, 0.000], [0.000, 0.000, 0.500], [0.000, 0.500, 0.000], [0.500, 0.000, 0.000], [0.500, 0.500, 0.500]]
}

#2
{
  "formula": "AlAsSe2I",
  "functional": "GGA-PBEsol",
  "state": "optimized geometry",
  "volume_a3_per_atom": 30.23,
  "spacegroup": "P4/mmm",
  "lattice": [[5.355, 0.000, 0.000], [0.000, 5.355, 0.000], [0.000, 0.000, 5.272]],
  "species": ["Al", "As", "Se", "Se", "I"],
  "frac_coords": [[0.000, 0.000, 0.000], [0.500, 0.500, 0.000], [0.000, 0.500, 0.500], [0.500, 0.000, 0.500], [0.500, 0.500, 0.500]]
}

Looking at the structures above, #1 is most stable, and the difference to the next one is 734 meV/atom.